(1)
Computed, not measured: a relaxed Cu2OsSe2 crystal at the PBE level of DFT.

The calculation puts the energy relative to the lowest polymorph listed for this composition at 0.0000 eV per atom. The value obtained for the density of states at the Fermi level is 0.732 states/eV per atom. The calculation puts the formation energy without anion corrections at 0.6160 eV/atom.

It has space group P4/mbm (No. 127), with a = 6.8057 Å, b = 6.8057 Å, c = 3.2947 Å, α = 90.00°, β = 90.00° and γ = 90.00°. The distinct sites, in fractional coordinates, are Cu at (0.1266, 0.3734, 0.0000), Os at (0.0000, 0.0000, 0.0000) and Se at (0.1861, 0.6861, 0.5000).

(2)
Computed, not measured: a relaxed CuOsSe2 crystal at the PBE level of DFT.

The calculation puts the energy relative to the lowest polymorph listed for this composition at 0.8789 eV per atom. The value obtained for the density of states at the Fermi level is 1.028 states/eV per atom. The calculation puts the formation energy without anion corrections at 1.0155 eV/atom.

It has space group F-43m (No. 216), with a = 6.3852 Å, b = 6.3852 Å, c = 6.3852 Å, α = 90.00°, β = 90.00° and γ = 90.00°. The distinct sites, in fractional coordinates, are Cu at (0.0000, 0.0000, 0.0000), Os at (0.2500, 0.2500, 0.7500), Se at (0.0000, 0.0000, 0.5000) and Se at (0.2500, 0.2500, 0.2500).

(3)
Computed, not measured: a relaxed CuOsSe2 crystal at the PBE level of DFT.

The calculation puts the energy relative to the lowest polymorph listed for this composition at 0.2830 eV per atom. The value obtained for the density of states at the Fermi level is 0.670 states/eV per atom. The calculation puts the formation energy without anion corrections at 0.4196 eV/atom.

It has space group Imm2 (No. 44), with a = 3.0120 Å, b = 3.9529 Å, c = 11.8713 Å, α = 90.00°, β = 90.00° and γ = 90.00°. The distinct sites, in fractional coordinates, are Cu at (0.0000, 0.0000, 0.0000), Os at (0.0000, 0.5000, 0.7082), Se at (0.0000, 0.0000, 0.3772) and Se at (0.0000, 0.5000, 0.1414).

(4)
Computed, not measured: a relaxed CuOsSe2 crystal at the PBE level of DFT.

The calculation puts the energy relative to the lowest polymorph listed for this composition at 0.1577 eV per atom. The value obtained for the density of states at the Fermi level is 0.953 states/eV per atom. The calculation puts the formation energy without anion corrections at 0.2943 eV/atom.

It has space group Immm (No. 71), with a = 3.0068 Å, b = 4.3157 Å, c = 11.7392 Å, α = 90.00°, β = 90.00° and γ = 90.00°. The distinct sites, in fractional coordinates, are Cu at (0.0000, 0.0000, 0.0000), Os at (0.0000, 0.0000, 0.5000) and Se at (0.0000, 0.5000, 0.1686).

(5)
Computed, not measured: a relaxed Cu3OsSe crystal at the PBE level of DFT.

The calculation puts the energy relative to the lowest polymorph listed for this composition at 0.1196 eV per atom. The value obtained for the density of states at the Fermi level is 0.956 states/eV per atom. The calculation puts the formation energy without anion corrections at 1.4208 eV/atom.

It has space group Pm-3m (No. 221), with a = 4.6591 Å, b = 4.6591 Å, c = 4.6591 Å, α = 90.00°, β = 90.00° and γ = 90.00°. The distinct sites, in fractional coordinates, are Cu at (0.0000, 0.0000, 0.5000), Os at (0.0000, 0.0000, 0.0000) and Se at (0.5000, 0.5000, 0.5000).

(6)
Computed, not measured: a relaxed CuOsSe2 crystal at the PBE level of DFT.

The calculation puts the energy relative to the lowest polymorph listed for this composition at 0.0954 eV per atom. The value obtained for the density of states at the Fermi level is 0.938 states/eV per atom. The calculation puts the formation energy without anion corrections at 0.2320 eV/atom.

It has space group P-4m2 (No. 115), with a = 3.7820 Å, b = 3.7820 Å, c = 5.4780 Å, α = 90.00°, β = 90.00° and γ = 90.00°. The distinct sites, in fractional coordinates, are Cu at (0.0000, 0.0000, 0.0000), Os at (0.5000, 0.5000, 0.0000) and Se at (0.0000, 0.5000, 0.2936).

(7)
Computed, not measured: a relaxed CuOs4Se crystal at the PBE level of DFT.

The value obtained for the density of states at the Fermi level is 1.530 states/eV per atom. The calculation puts the formation energy without anion corrections at 1.1323 eV/atom.

It has space group F-43m (No. 216), with a = 7.3245 Å, b = 7.3245 Å, c = 7.3245 Å, α = 90.00°, β = 90.00° and γ = 90.00°. The distinct sites, in fractional coordinates, are Cu at (0.0000, 0.0000, 0.0000), Os at (0.1249, 0.1249, 0.6249) and Se at (0.2500, 0.2500, 0.2500).

(8)
Computed, not measured: a relaxed CuOsSe2 crystal at the PBE level of DFT.

The calculation puts the energy relative to the lowest polymorph listed for this composition at 0.3697 eV per atom. The value obtained for the density of states at the Fermi level is 0.576 states/eV per atom. The calculation puts the formation energy without anion corrections at 0.5063 eV/atom.

It has space group P4/mmm (No. 123), with a = 3.0831 Å, b = 3.0831 Å, c = 6.7204 Å, α = 90.00°, β = 90.00° and γ = 90.00°. The distinct sites, in fractional coordinates, are Cu at (0.0000, 0.0000, 0.0000), Os at (0.0000, 0.0000, 0.5000) and Se at (0.5000, 0.5000, 0.2618).

What is the formation energy without anion corrections in the eighth record? 0.5063 eV/atom

Which formula does entry 8 have? CuOsSe2